(1)
Density functional theory data (PBEsol) for crystalline YP2Cl at its relaxed geometry.

Properties
Distance to the lowest polymorph of the same formula (eV per formula unit): 2.52
Symmetry: F-43m (216)

Lattice parameters (Å, degrees): 4.7437 4.7437 4.7437 60.00 60.00 60.00
Atoms (fractional coordinates):
Y (0.2500, 0.2500, 0.2500)
P (0.7500, 0.7500, 0.7500)
P (0.0000, 0.0000, 0.0000)
Cl (0.5000, 0.5000, 0.5000)

(2)
Density functional theory data (PBEsol) for crystalline YP2Cl at its relaxed geometry.

Properties
Distance to the lowest polymorph of the same formula (eV per formula unit): 0.85
Symmetry: P4/mmm (123)

Lattice parameters (Å, degrees): 3.8684 3.8684 5.5496 90.00 90.00 90.00
Atoms (fractional coordinates):
Y (0.5000, 0.5000, 0.0000)
P (0.0000, 0.0000, 0.1905)
Cl (0.5000, 0.5000, 0.5000)
P (0.0000, 0.0000, 0.8095)

(3)
Density functional theory data (PBEsol) for crystalline YPCl2 at its relaxed geometry.

Properties
Distance to the lowest polymorph of the same formula (eV per formula unit): 1.58
Symmetry: P4/mmm (123)

Lattice parameters (Å, degrees): 3.2277 3.2277 8.4787 90.00 90.00 90.00
Each line ends with the local moment (μB).
Atoms (fractional coordinates):
Cl (0.0000, 0.0000, 0.3185)  0.01
Y (0.5000, 0.5000, 0.5000)  -0.06
P (0.5000, 0.5000, 0.0000)  0.28
Cl (0.0000, 0.0000, 0.6815)  0.01

(4)
Density functional theory data (PBEsol) for crystalline ZnPCl2 at its relaxed geometry.

Properties
Distance to the lowest polymorph of the same formula (eV per formula unit): 2.31
Symmetry: F-43m (216)

Lattice parameters (Å, degrees): 4.6128 4.6128 4.6128 60.00 60.00 60.00
Atoms (fractional coordinates):
Cl (0.0000, 0.0000, 0.0000)
Cl (0.7500, 0.7500, 0.7500)
Zn (0.2500, 0.2500, 0.2500)
P (0.5000, 0.5000, 0.5000)

(5)
Density functional theory data (PBEsol) for crystalline ZnP2Cl at its relaxed geometry.

Properties
Symmetry: P4/mmm (123)

Lattice parameters (Å, degrees): 3.5644 3.5644 5.6420 90.00 90.00 90.00
Atoms (fractional coordinates):
P (0.0000, 0.0000, 0.8164)
Cl (0.5000, 0.5000, 0.5000)
Zn (0.5000, 0.5000, 0.0000)
P (0.0000, 0.0000, 0.1836)

(6)
Density functional theory data (PBEsol) for crystalline ZnPCl2 at its relaxed geometry.

Properties
Distance to the lowest polymorph of the same formula (eV per formula unit): 1.14
Symmetry: Cmmm (65)

Lattice parameters (Å, degrees): 3.1867 3.2445 8.7651 90.00 90.00 119.41
Atoms (fractional coordinates):
Zn (0.5000, 0.0000, 0.0000)
Cl (0.0000, 0.0000, 0.7074)
Cl (0.0000, 0.0000, 0.2926)
P (0.5000, 0.0000, 0.5000)

Calculated electronic total energy (eV per atom), listed in the same order as above: -5.505, -5.921, -4.952, -2.374, -3.536, -2.667
Calculated density (Mg/m³), listed in the same order as above: 4.099, 3.725, 3.586, 4.003, 3.772, 3.519
Calculated formation energy (no corrections) (meV/atom), listed in the same order as above: -401, -818, -795, 473, 257, 180